Entry 1:
# ScTeOs2

ScTeOs2 after structural relaxation (PBE, the Alexandria database).

a = 3.2883 Å, b = 3.2878 Å, c = 6.4078 Å
α = 90.00°, β = 90.00°, γ = 90.00°
Positions (direct):
1 Sc 0.5000 0.5000 0.2500
2 Te 0.5000 0.5000 0.7500
3 Os 0.0000 0.0000 0.4970
4 Os 0.0000 0.0000 0.0030

Uncorrected formation energy in eV/atom: 0.170
Magnetic moment in μB/cell: 0.000

---

Entry 2:
# Tm4Ir2Pd

Tm4Ir2Pd after structural relaxation (PBE, the Alexandria database).

a = 4.1813 Å, b = 7.1287 Å, c = 7.1549 Å
α = 119.10°, β = 106.99°, γ = 90.00°
Positions (direct):
1 Pd 0.0000 0.0000 0.0000
2 Tm 0.3722 0.6850 0.7444
3 Tm 0.1401 0.7926 0.2802
4 Tm 0.6278 0.3150 0.2556
5 Tm 0.8599 0.2074 0.7198
6 Ir 0.2385 0.2394 0.4770
7 Ir 0.7615 0.7606 0.5230

Energy relative to the elements in eV/atom: -0.756
Magnetic moment in μB/cell: 0.000
Relative energy among the computed polymorphs in meV/atom: 165.0

---

Entry 3:
# CrRhBr2

CrRhBr2 after structural relaxation (PBE, the Alexandria database).

a = 3.4985 Å, b = 3.4985 Å, c = 7.3638 Å
α = 90.00°, β = 90.00°, γ = 99.32°
Each line ends with the local moment (μB).
Positions (direct):
1 Cr 0.0000 0.0000 0.5455  3.23
2 Br 0.0000 0.0000 0.9089  -0.06
3 Br 0.5000 0.5000 0.3502  0.01
4 Rh 0.5000 0.5000 0.6955  -0.45

Uncorrected formation energy in eV/atom: 0.076
Magnetic moment in μB/cell: 2.998
Relative energy among the computed polymorphs in meV/atom: 145.8

---

Entry 4:
# TbErAlGa

TbErAlGa after structural relaxation (PBE, the Alexandria database).

a = 4.4000 Å, b = 4.0568 Å, c = 5.9154 Å
α = 90.00°, β = 111.83°, γ = 90.00°
Positions (direct):
1 Tb 0.1390 0.0000 0.2779
2 Al 0.4262 0.0000 0.8524
3 Ga 0.5765 0.5000 0.1530
4 Er 0.8584 0.5000 0.7167

Energy relative to the elements in eV/atom: -0.508
Magnetic moment in μB/cell: 0.000
Relative energy among the computed polymorphs in meV/atom: 0.0

---

Entry 5:
# TbGdCuPd

TbGdCuPd after structural relaxation (PBE, the Alexandria database).

a = 4.9795 Å, b = 4.9795 Å, c = 4.9795 Å
α = 60.00°, β = 60.00°, γ = 60.00°
Each line ends with the local moment (μB).
Positions (direct):
1 Pd 0.0000 0.0000 0.0000  0.00
2 Gd 0.7500 0.7500 0.7500  7.01
3 Tb 0.2500 0.2500 0.2500  0.01
4 Cu 0.5000 0.5000 0.5000  0.01

Energy relative to the elements in eV/atom: -0.534
Magnetic moment in μB/cell: 7.132

---

no.,E_tot (eV per atom)
1,-7.813
2,-6.584
3,-5.004
4,-4.499
5,-7.534